No. 1
# Ac2ThZn | Alexandria via LeMat-Bulk | PBE | relaxed
data_Ac2ThZn
_chemical_formula_sum 'Ac2 Th1 Zn1'
_symmetry_space_group_name_H-M 'P 1'
_symmetry_Int_Tables_number 1
_symmetry_space_group_name_Hall 'P 1'
_cell_length_a 3.682
_cell_length_b 3.682
_cell_length_c 12.371
_cell_angle_alpha 81.44
_cell_angle_beta 81.44
_cell_angle_gamma 60.00
loop_
_atom_site_label
_atom_site_fract_x
_atom_site_fract_y
_atom_site_fract_z
_atom_site_occupancy
Th1 0.000 0.000 0.000 1
Zn1 0.500 0.500 0.500 1
Ac1 0.901 0.901 0.296 1
Ac2 0.099 0.099 0.704 1
# **Electronic total energy**: -15.8 eV/cell
# **Symmetry**: R-3m
# **Total magnetic moment**: 0.00 μB per formula unit

No. 2
# Ac2ThZn4 | Alexandria via LeMat-Bulk | PBE | relaxed
data_Ac2ThZn4
_chemical_formula_sum 'Ac2 Th1 Zn4'
_symmetry_space_group_name_H-M 'P 1'
_symmetry_Int_Tables_number 1
_symmetry_space_group_name_Hall 'P 1'
_cell_length_a 5.510
_cell_length_b 5.510
_cell_length_c 7.711
_cell_angle_alpha 110.93
_cell_angle_beta 110.93
_cell_angle_gamma 90.00
loop_
_atom_site_label
_atom_site_fract_x
_atom_site_fract_y
_atom_site_fract_z
_atom_site_occupancy
Ac1 0.284 0.284 0.569 1
Th1 0.000 0.000 0.000 1
Zn1 0.100 0.600 0.200 1
Ac2 0.716 0.716 0.431 1
Zn2 0.600 0.100 0.200 1
Zn3 0.400 0.900 0.800 1
Zn4 0.900 0.400 0.800 1
# **Electronic total energy**: -21.1 eV/cell
# **Symmetry**: I4/mmm
# **Total magnetic moment**: 0.00 μB per formula unit

No. 3
# Ac2ThZn6 | Alexandria via LeMat-Bulk | PBE | relaxed
data_Ac2ThZn6
_chemical_formula_sum 'Ac2 Th1 Zn6'
_symmetry_space_group_name_H-M 'P 1'
_symmetry_Int_Tables_number 1
_symmetry_space_group_name_Hall 'P 1'
_cell_length_a 3.765
_cell_length_b 8.119
_cell_length_c 8.119
_cell_angle_alpha 120.00
_cell_angle_beta 90.00
_cell_angle_gamma 90.00
loop_
_atom_site_label
_atom_site_fract_x
_atom_site_fract_y
_atom_site_fract_z
_atom_site_occupancy
Zn1 0.500 0.325 0.000 1
Ac1 0.000 0.333 0.667 1
Ac2 0.000 0.667 0.333 1
Th1 0.000 0.000 0.000 1
Zn2 0.500 0.675 0.000 1
Zn3 0.500 0.675 0.675 1
Zn4 0.500 0.325 0.325 1
Zn5 0.500 0.000 0.325 1
Zn6 0.500 0.000 0.675 1
# **Electronic total energy**: -25.7 eV/cell
# **Symmetry**: P6/mmm
# **Total magnetic moment**: 0.00 μB per formula unit

No. 4
# Ac4ThZn5 | Alexandria via LeMat-Bulk | PBE | relaxed
data_Ac4ThZn5
_chemical_formula_sum 'Ac4 Th1 Zn5'
_symmetry_space_group_name_H-M 'P 1'
_symmetry_Int_Tables_number 1
_symmetry_space_group_name_Hall 'P 1'
_cell_length_a 3.861
_cell_length_b 3.861
_cell_length_c 19.280
_cell_angle_alpha 90.00
_cell_angle_beta 90.00
_cell_angle_gamma 90.00
loop_
_atom_site_label
_atom_site_fract_x
_atom_site_fract_y
_atom_site_fract_z
_atom_site_occupancy
Zn1 0.500 0.500 0.704 1
Ac1 0.000 0.000 0.602 1
Zn2 0.500 0.500 0.914 1
Zn3 0.500 0.500 0.500 1
Th1 0.000 0.000 0.000 1
Ac2 0.000 0.000 0.808 1
Ac3 0.000 0.000 0.192 1
Ac4 0.000 0.000 0.398 1
Zn4 0.500 0.500 0.296 1
Zn5 0.500 0.500 0.086 1
# **Electronic total energy**: -32.4 eV/cell
# **Symmetry**: P4/mmm
# **Total magnetic moment**: 0.00 μB per formula unit

Question: What is the formula in the first record?
Answer: Ac2ThZn